A geometry-optimized GdTm3Os structure, computed with GGA-PBE.

Output
The density of states at the Fermi level is 8.6 states/eV per cell. The value obtained for the electronic total energy is -38.88 eV/cell. Its density is 9.20 Mg/m³. The symmetry is Pm-3m. Its calculated formation energy is -0.03 eV per atom.

Unit cell a=5.362 b=5.362 c=5.362 alpha=90.00 beta=90.00 gamma=90.00
Fractional coordinates of all 5 atoms:
Gd1 0.500 0.500 0.500
Tm1 0.000 0.500 0.000
Tm2 0.000 0.000 0.500
Tm3 0.500 0.000 0.000
Os1 0.000 0.000 0.000